## CaTb7Y2 (PBE)

Data for CaTb7Y2 after structural relaxation.

Calculated values
formation energy from the elements: 0.051 eV/atom
D(E_F): 15.04 states/eV per cell
raw total energy: -4.6829 eV/atom
M_tot: 0.0 μB per formula unit

```
data_CaTb7Y2
_cell_length_a 5.066
_cell_length_b 7.181
_cell_length_c 9.498
_cell_angle_alpha 79.02
_cell_angle_beta 74.54
_cell_angle_gamma 89.88
_space_group_name_H-M_alt 'P -1'
_space_group_IT_number 2
_space_group_name_Hall '-P 1'
loop_
_atom_site_label
_atom_site_type_symbol
_atom_site_fract_x
_atom_site_fract_y
_atom_site_fract_z
_atom_site_occupancy
Ca1 Ca 0.000 0.000 0.000 1
Tb1 Tb 0.000 0.500 0.000 1
Tb2 Tb 0.203 0.100 0.594 1
Tb3 Tb 0.397 0.206 0.205 1
Tb4 Tb 0.398 0.691 0.204 1
Y1 Y 0.200 0.601 0.601 1
```